Entry 1:
PaSe2O6F: optimized geometry, PBE.

The space-group type is No. 15. As for the uncorrected formation energy: -1.91 eV/atom.

Lattice parameters (Å, degrees): 7.0087 7.0087 8.6580 111.86 111.86 62.42
Element x y z (fractional)
Pa (0.2409, 0.7591, 0.7500)
Pa (0.7591, 0.2409, 0.2500)
Se (0.1254, 0.5165, 0.2594)
Se (0.4835, 0.8746, 0.2406)
Se (0.5165, 0.1254, 0.7594)
Se (0.8746, 0.4835, 0.7406)
O (0.0636, 0.3092, 0.2621)
O (0.1587, 0.6616, 0.4768)
O (0.3092, 0.0636, 0.7621)
O (0.3384, 0.8413, 0.0232)
O (0.3693, 0.4011, 0.7553)
O (0.4011, 0.3693, 0.2553)
O (0.5989, 0.6307, 0.7447)
O (0.6307, 0.5989, 0.2447)
O (0.6616, 0.1587, 0.9768)
O (0.6908, 0.9364, 0.2379)
O (0.8413, 0.3384, 0.5232)
O (0.9364, 0.6908, 0.7379)
F (0.0540, 0.9460, 0.2500)
F (0.9460, 0.0540, 0.7500)

=====

Entry 2:
Fe2SnOs2: optimized geometry, PBE.

The value obtained for the energy of formation is 552.0 meV/atom. The space-group type is No. 139.

Lattice parameters (Å, degrees): 6.1707 6.1707 6.1707 145.18 145.18 50.06
Element x y z (fractional)
Fe (0.2500, 0.7500, 0.5000)
Fe (0.7500, 0.2500, 0.5000)
Sn (0.0000, 0.0000, 0.0000)
Os (0.3885, 0.3885, 0.0000)
Os (0.6115, 0.6115, 0.0000)

=====

Entry 3:
Li2ZnSb: optimized geometry, PBE.

The space-group type is No. 12. As for the uncorrected formation energy: -0.22 eV/atom.

Lattice parameters (Å, degrees): 4.7675 4.7675 5.4440 100.78 100.78 40.26
Element x y z (fractional)
Li (0.2495, 0.2495, 0.2456)
Li (0.7505, 0.7505, 0.7544)
Zn (0.0000, 0.0000, 0.5000)
Sb (0.5000, 0.5000, 0.0000)

=====

Number 1: N(E_F) 0.00 states/eV/f.u., E -134.454 eV/cell. Number 2: N(E_F) 5.44 states/eV/f.u., E -40.628 eV/cell. Number 3: N(E_F) 1.08 states/eV/f.u., E -10.107 eV/cell.